1.
## NaYTa2Bi (PBE-GGA)

Data for NaYTa2Bi after structural relaxation.

Total energy (eV/cell): -28.65

Cell and atoms, written as CIF:
```
data_NaYTa2Bi
_chemical_formula_sum 'Na1 Y1 Ta2 Bi1'
_cell_length_a 5.294
_cell_length_b 5.294
_cell_length_c 5.227
_cell_angle_alpha 90.00
_cell_angle_beta 90.00
_cell_angle_gamma 90.00
_symmetry_space_group_name_H-M 'P 4/m m m'
_symmetry_Int_Tables_number 123
_symmetry_space_group_name_Hall '-P 4 2'
loop_
_atom_site_label
_atom_site_type_symbol
_atom_site_fract_x
_atom_site_fract_y
_atom_site_fract_z
Na1 Na 0.000 0.000 0.000
Y1 Y 0.500 0.500 0.000
Ta1 Ta 0.000 0.500 0.500
Bi1 Bi 0.000 0.000 0.500
```



2.
## PmHoSiAu (PBE-GGA)

Data for PmHoSiAu after structural relaxation.

Raw formation energy (eV per atom): -0.6378

Cell and atoms, written as CIF:
```
data_PmHoSiAu
_chemical_formula_sum 'Pm4 Ho4 Si4 Au4'
_cell_length_a 7.219
_cell_length_b 7.219
_cell_length_c 7.219
_cell_angle_alpha 90.00
_cell_angle_beta 90.00
_cell_angle_gamma 90.00
_symmetry_space_group_name_H-M 'F -4 3 m'
_symmetry_Int_Tables_number 216
_symmetry_space_group_name_Hall 'F -4 2 3'
loop_
_atom_site_label
_atom_site_type_symbol
_atom_site_fract_x
_atom_site_fract_y
_atom_site_fract_z
Pm1 Pm 0.000 0.000 0.000
Ho1 Ho 0.000 0.000 0.500
Si1 Si 0.250 0.250 0.250
Au1 Au 0.250 0.250 0.750
```